Entry 1:
# NaNdCuAg

A geometry-optimized NaNdCuAg structure (PBE, the Alexandria database).

As for the calculated formation energy: -0.002 eV per atom. For the theoretical density, the calculation gives 6.1 g/cm³. The calculation puts the total moment at 0.0 μB per formula unit. The electronic total energy is -3.261 eV per atom.

The structure belongs to space group F-43m (No. 216); the cell edges are 7.173, 7.173 and 7.173 Å and the angles 90.00°, 90.00° and 90.00°. The distinct sites, in fractional coordinates, are Na at (0.000, 0.000, 0.000), Nd at (0.000, 0.000, 0.500), Cu at (0.250, 0.250, 0.250) and Ag at (0.250, 0.250, 0.750).

Entry 2:
# Na2CuAgO4

A geometry-optimized Na2CuAgO4 structure (PBE, the Alexandria database).

For the theoretical density, the calculation gives 4.5 g/cm³. The calculation puts the total moment at 0.0 μB per formula unit. The electronic total energy is -4.480 eV per atom. As for the raw formation energy: -0.80 eV/atom.

The structure belongs to space group P2/m (No. 10); the cell edges are 6.245, 2.896 and 6.466 Å and the angles 90.00°, 117.07° and 90.00°. The distinct sites, in fractional coordinates, are Na at (0.000, 0.000, 0.000), Na at (0.500, 0.500, 0.500), Cu at (0.000, 0.500, 0.500), Ag at (0.500, 0.000, 0.000), O at (0.149, 0.000, 0.430) and O at (0.332, 0.500, 0.091).

Entry 3:
# Na2CuAgO2

A geometry-optimized Na2CuAgO2 structure (PBE, the Alexandria database).

For the theoretical density, the calculation gives 4.7 g/cm³. The calculation puts the total moment at 0.0 μB per formula unit. The electronic total energy is -4.061 eV per atom. As for the raw formation energy: -0.81 eV/atom.

The structure belongs to space group Pnnm (No. 58); the cell edges are 4.223, 11.012 and 3.768 Å and the angles 90.00°, 90.00° and 90.00°. The distinct sites, in fractional coordinates, are Na at (0.200, 0.238, 0.000), Cu at (0.000, 0.500, 0.500), Ag at (0.000, 0.000, 0.500) and O at (0.219, 0.358, 0.500).

Entry 4:
# NaCuAgPb

A geometry-optimized NaCuAgPb structure (PBE, the Alexandria database).

As for the calculated formation energy: 0.098 eV per atom. For the theoretical density, the calculation gives 8.1 g/cm³. The calculation puts the total moment at 0.0 μB per formula unit. The electronic total energy is -2.896 eV per atom.

The structure belongs to space group F-43m (No. 216); the cell edges are 6.912, 6.912 and 6.912 Å and the angles 90.00°, 90.00° and 90.00°. The distinct sites, in fractional coordinates, are Na at (0.000, 0.000, 0.000), Cu at (0.250, 0.250, 0.750), Ag at (0.250, 0.250, 0.250) and Pb at (0.000, 0.000, 0.500).

Entry 5:
# Na2Cu2AgPd5

A geometry-optimized Na2Cu2AgPd5 structure (PBE, the Alexandria database).

As for the calculated formation energy: -0.023 eV per atom. For the theoretical density, the calculation gives 8.0 g/cm³. The calculation puts the total moment at 0.0 μB per formula unit. The electronic total energy is -3.988 eV per atom.

The structure belongs to space group P4/mbm (No. 127); the cell edges are 9.108, 9.108 and 4.078 Å and the angles 90.00°, 90.00° and 90.00°. The distinct sites, in fractional coordinates, are Na at (0.177, 0.323, 0.000), Cu at (0.119, 0.619, 0.000), Ag at (0.000, 0.000, 0.000), Pd at (0.000, 0.500, 0.500) and Pd at (0.071, 0.793, 0.500).

Entry 6:
# NaCuAgPd

A geometry-optimized NaCuAgPd structure (PBE, the Alexandria database).

As for the calculated formation energy: 0.063 eV per atom. For the theoretical density, the calculation gives 7.6 g/cm³. The calculation puts the total moment at 0.0 μB per formula unit. The electronic total energy is -3.302 eV per atom.

The structure belongs to space group F-43m (No. 216); the cell edges are 6.399, 6.399 and 6.399 Å and the angles 90.00°, 90.00° and 90.00°. The distinct sites, in fractional coordinates, are Na at (0.000, 0.000, 0.000), Cu at (0.000, 0.000, 0.500), Ag at (0.250, 0.250, 0.250) and Pd at (0.250, 0.250, 0.750).

Entry 7:
# NaPrCuAg

A geometry-optimized NaPrCuAg structure (PBE, the Alexandria database).

As for the calculated formation energy: -0.003 eV per atom. For the theoretical density, the calculation gives 5.9 g/cm³. The calculation puts the total moment at 0.0 μB per formula unit. The electronic total energy is -3.264 eV per atom.

The structure belongs to space group F-43m (No. 216); the cell edges are 7.212, 7.212 and 7.212 Å and the angles 90.00°, 90.00° and 90.00°. The distinct sites, in fractional coordinates, are Na at (0.000, 0.000, 0.000), Pr at (0.000, 0.000, 0.500), Cu at (0.250, 0.250, 0.250) and Ag at (0.250, 0.250, 0.750).

Entry 8:
# RbNa2CuAg

A geometry-optimized RbNa2CuAg structure (PBE, the Alexandria database).

As for the calculated formation energy: 0.196 eV per atom. For the theoretical density, the calculation gives 3.1 g/cm³. The calculation puts the total moment at 0.0 μB per formula unit. The electronic total energy is -1.914 eV per atom.

The structure belongs to space group P4/mmm (No. 123); the cell edges are 5.628, 5.628 and 5.136 Å and the angles 90.00°, 90.00° and 90.00°. The distinct sites, in fractional coordinates, are Rb at (0.000, 0.000, 0.000), Na at (0.000, 0.500, 0.500), Cu at (0.500, 0.500, 0.500) and Ag at (0.500, 0.500, 0.000).

Entry 9:
# NaCuAg2S2

A geometry-optimized NaCuAg2S2 structure (PBE, the Alexandria database).

For the theoretical density, the calculation gives 4.8 g/cm³. The calculation puts the total moment at 0.0 μB per formula unit. The electronic total energy is -3.579 eV per atom. As for the raw formation energy: -0.35 eV/atom.

The structure belongs to space group Pnnm (No. 58); the cell edges are 6.955, 7.980 and 4.597 Å and the angles 90.00°, 90.00° and 90.00°. The distinct sites, in fractional coordinates, are Na at (0.000, 0.000, 0.000), Cu at (0.000, 0.500, 0.000), Ag at (0.075, 0.316, 0.500) and S at (0.224, 0.311, 0.000).

Entry 10:
# NaCuAgS2

A geometry-optimized NaCuAgS2 structure (PBE, the Alexandria database).

For the theoretical density, the calculation gives 4.1 g/cm³. The calculation puts the total moment at 0.0 μB per formula unit. The electronic total energy is -3.659 eV per atom. As for the raw formation energy: -0.35 eV/atom.

The structure belongs to space group P2/c (No. 13); the cell edges are 6.468, 4.511 and 7.351 Å and the angles 90.00°, 102.17° and 90.00°. The distinct sites, in fractional coordinates, are Na at (0.000, 0.197, 0.250), Cu at (0.500, 0.000, 0.000), Ag at (0.500, 0.498, 0.750) and S at (0.244, 0.311, 0.953).

Entry 11:
# NaCuAgSb

A geometry-optimized NaCuAgSb structure (PBE, the Alexandria database).

For the theoretical density, the calculation gives 6.7 g/cm³. The calculation puts the total moment at 0.0 μB per formula unit. The electronic total energy is -3.100 eV per atom. As for the raw formation energy: 0.00 eV/atom.

The structure belongs to space group F-43m (No. 216); the cell edges are 6.796, 6.796 and 6.796 Å and the angles 90.00°, 90.00° and 90.00°. The distinct sites, in fractional coordinates, are Na at (0.000, 0.000, 0.000), Cu at (0.250, 0.250, 0.250), Ag at (0.250, 0.250, 0.750) and Sb at (0.000, 0.000, 0.500).

Entry 12:
# NaCuAgSb2

A geometry-optimized NaCuAgSb2 structure (PBE, the Alexandria database).

For the theoretical density, the calculation gives 5.9 g/cm³. The calculation puts the total moment at 0.0 μB per formula unit. The electronic total energy is -3.380 eV per atom. As for the raw formation energy: -0.08 eV/atom.

The structure belongs to space group I-4m2 (No. 119); the cell edges are 4.577, 4.577 and 11.730 Å and the angles 90.00°, 90.00° and 90.00°. The distinct sites, in fractional coordinates, are Na at (0.000, 0.000, 0.000), Cu at (0.000, 0.500, 0.750), Ag at (0.000, 0.500, 0.250) and Sb at (0.000, 0.000, 0.378).